Here is crystalline PrNd2H at its relaxed geometry from Alexandria. Energies are from PBE.

Output
**E**: -4.25 eV per atom
**Magnetic moment**: 0.00 Bohr magnetons per cell
**Energy above the most stable polymorph in this dataset**: 330 meV/atom
**Crystal system**: hexagonal
**Density of states at the Fermi level**: 3.8 states/eV/f.u.

abc: 5.6773 5.6773 4.1649
angles: 90.00 90.00 120.00
Space group P6/mmm (No. 191)
One atom of each set of equivalent atoms:
Pr: 0.0000 0.0000 0.0000 x1
Nd: 0.3333 0.6667 0.5000 x2
H: 0.0000 0.0000 0.5000 x1

=====

Here is crystalline Li2HoHf2Se6 at its relaxed geometry from Alexandria. Energies are from PBE.

Output
**E**: -5.91 eV per atom
**Magnetic moment**: 0.00 Bohr magnetons per cell
**Formation energy without anion corrections**: -1.440 eV/atom
**Crystal system**: monoclinic
**Density of states at the Fermi level**: 3.7 states/eV/f.u.

abc: 6.653 11.614 6.919
angles: 90.00 108.73 90.00
Space group C2/m (No. 12)
One atom of each set of equivalent atoms:
Li: 0.000 0.163 0.000 x4
Ho: 0.000 0.000 0.500 x2
Hf: 0.000 0.334 0.500 x4
Se: 0.233 0.500 0.747 x4
Se: 0.245 0.325 0.254 x8

=====

Here is crystalline La2CdS at its relaxed geometry from Alexandria. Energies are from PBE.

Output
**E**: -4.44 eV per atom
**Magnetic moment**: 0.00 Bohr magnetons per cell
**Energy above the most stable polymorph in this dataset**: 409 meV/atom
**Formation energy without anion corrections**: -0.720 eV/atom
**Crystal system**: cubic
**Density of states at the Fermi level**: 2.7 states/eV/f.u.

abc: 7.532 7.532 7.532
angles: 90.00 90.00 90.00
Space group Fm-3m (No. 225)
One atom of each set of equivalent atoms:
La: 0.250 0.250 0.250 x8
Cd: 0.000 0.000 0.000 x4
S: 0.000 0.000 0.500 x4

=====

Here is crystalline Zr2NbCu2 at its relaxed geometry from Alexandria. Energies are from PBE.

Output
**E**: -6.88 eV per atom
**ΔE_f**: 0.189 eV per atom
**Magnetic moment**: 0.00 Bohr magnetons per cell
**Energy above the most stable polymorph in this dataset**: 176 meV/atom
**Crystal system**: tetragonal
**Density of states at the Fermi level**: 6.5 states/eV/f.u.

abc: 7.688 7.688 3.080
angles: 90.00 90.00 90.00
Space group P4/mbm (No. 127)
One atom of each set of equivalent atoms:
Zr: 0.166 0.334 0.000 x4
Nb: 0.000 0.000 0.000 x2
Cu: 0.128 0.628 0.500 x4

=====

Here is crystalline Y2TmRh at its relaxed geometry from Alexandria. Energies are from PBE.

Output
**E**: -6.56 eV per atom
**ΔE_f**: -0.374 eV per atom
**Magnetic moment**: 0.00 Bohr magnetons per cell
**Energy above the most stable polymorph in this dataset**: 154 meV/atom
**Crystal system**: tetragonal
**Density of states at the Fermi level**: 5.7 states/eV/f.u.

abc: 3.510 3.510 8.541
angles: 90.00 90.00 90.00
Space group P4/mmm (No. 123)
One atom of each set of equivalent atoms:
Y: 0.000 0.000 0.192 x2
Tm: 0.500 0.500 0.500 x1
Rh: 0.500 0.500 0.000 x1

=====

Here is crystalline BaAs2Ir at its relaxed geometry from Alexandria. Energies are from PBE.

Output
**E**: -5.61 eV per atom
**ΔE_f**: -0.592 eV per atom
**Magnetic moment**: 0.00 Bohr magnetons per cell
**Crystal system**: monoclinic
**Density of states at the Fermi level**: 2.8 states/eV/f.u.

abc: 4.888 4.131 5.245
angles: 90.00 100.79 90.00
Space group P2/m (No. 10)
One atom of each set of equivalent atoms:
Ba: 0.000 0.000 0.000 x1
As: 0.261 0.500 0.608 x2
Ir: 0.500 0.000 0.500 x1

=====

Here is crystalline RePb3S at its relaxed geometry from Alexandria. Energies are from PBE.

Output
**E**: -4.28 eV per atom
**Magnetic moment**: 3.67 Bohr magnetons per cell
**Energy above the most stable polymorph in this dataset**: 743 meV/atom
**Formation energy without anion corrections**: 1.259 eV/atom
**Crystal system**: cubic
**Density of states at the Fermi level**: 5.6 states/eV/f.u.

abc: 5.415 5.415 5.415
angles: 90.00 90.00 90.00
Space group Pm-3m (No. 221)
One atom of each set of equivalent atoms:
Re: 0.000 0.000 0.000 x1
Pb: 0.000 0.500 0.500 x3
S: 0.500 0.500 0.500 x1

=====

Here is crystalline NaAcTa4N8 at its relaxed geometry from Alexandria. Energies are from PBE.

Output
**E**: -9.43 eV per atom
**Magnetic moment**: 0.00 Bohr magnetons per cell
**Formation energy without anion corrections**: -0.896 eV/atom
**Crystal system**: trigonal

abc: 6.3749 6.3749 16.7822
angles: 90.00 90.00 120.00
Space group R3m (No. 160, hexagonal axes)
One atom of each set of equivalent atoms:
Na: 0.0000 0.0000 0.0000 x3
Ac: 0.0000 0.0000 0.3743 x3
Ta: 0.0000 0.0000 0.6246 x3
Ta: 0.1731 0.3462 0.8332 x9
N: 0.0000 0.0000 0.2327 x3
N: 0.0000 0.0000 0.7631 x3
N: 0.0114 0.5057 0.2442 x9
N: 0.0436 0.5218 0.7739 x9

=====

Here is crystalline Sr3Sb5Rh6 at its relaxed geometry from Alexandria. Energies are from PBE.

Output
**E**: -5.67 eV per atom
**Magnetic moment**: 0.00 Bohr magnetons per cell
**Formation energy without anion corrections**: -0.685 eV/atom
**Crystal system**: orthorhombic
**Density of states at the Fermi level**: 10.1 states/eV/f.u.

abc: 4.303 13.286 10.947
angles: 90.00 90.00 90.00
Space group Pmmn (No. 59, origin choice 2)
One atom of each set of equivalent atoms:
Sr: 0.250 0.094 0.242 x4
Sr: 0.250 0.750 0.246 x2
Sb: 0.250 0.076 0.647 x4
Sb: 0.250 0.625 0.990 x4
Sb: 0.250 0.750 0.620 x2
Rh: 0.250 0.055 0.889 x4
Rh: 0.250 0.250 0.518 x2
Rh: 0.250 0.250 0.992 x2
Rh: 0.250 0.581 0.493 x4

=====

Here is crystalline Np4Mn at its relaxed geometry from Alexandria. Energies are from PBE.

Output
**E**: -11.33 eV per atom
**ΔE_f**: 0.852 eV per atom
**Magnetic moment**: 16.66 Bohr magnetons per cell
**Crystal system**: cubic
**Density of states at the Fermi level**: 19.9 states/eV/f.u.

abc: 4.972 4.972 4.972
angles: 90.00 90.00 90.00
Space group Pm-3m (No. 221)
One atom of each set of equivalent atoms:
Np: 0.000 0.000 0.000 x1
Np: 0.000 0.500 0.500 x3
Mn: 0.500 0.500 0.500 x1

=====

Here is crystalline Tb6DyTe8 at its relaxed geometry from Alexandria. Energies are from PBE.

Output
**E**: -5.22 eV per atom
**Magnetic moment**: 0.00 Bohr magnetons per cell
**Formation energy without anion corrections**: -1.382 eV/atom
**Crystal system**: cubic
**Density of states at the Fermi level**: 6.8 states/eV/f.u.

abc: 12.316 12.316 12.316
angles: 90.00 90.00 90.00
Space group Fm-3m (No. 225)
One atom of each set of equivalent atoms:
Tb: 0.000 0.250 0.250 x24
Dy: 0.000 0.000 0.000 x4
Te: 0.000 0.000 0.255 x24
Te: 0.250 0.250 0.250 x8

=====

Here is crystalline NaTl4Cd3Cl12 at its relaxed geometry from Alexandria. Energies are from PBE.

Output
**E**: -2.79 eV per atom
**Magnetic moment**: 0.00 Bohr magnetons per cell
**Formation energy without anion corrections**: -1.004 eV/atom
**Crystal system**: cubic
**Density of states at the Fermi level**: 24.9 states/eV/f.u.

abc: 10.533 10.533 10.533
angles: 90.00 90.00 90.00
Space group Im-3m (No. 229)
One atom of each set of equivalent atoms:
Na: 0.000 0.000 0.000 x2
Tl: 0.250 0.250 0.250 x8
Cd: 0.000 0.000 0.500 x6
Cl: 0.000 0.000 0.258 x12
Cl: 0.000 0.250 0.500 x12